Entry 1:
Here is a geometry-optimized TaReP2S structure from Alexandria. Energies are from PBE.

Cell: 4.6155 4.6155 4.5630 Å, 90.00 90.00 90.00°
Positions (direct):
Ta: 0.0000 0.0000 0.0000
Re: 0.5000 0.5000 0.5000
P: 0.0000 0.5000 0.5000
P: 0.5000 0.0000 0.5000
S: 0.5000 0.5000 0.0000

Summary:
Space-group type: P4/mmm
Total moment in μB/cell: 2.6
E above lowest polymorph in meV/atom: 0
E_form (uncorrected) in meV per atom: 1051



Entry 2:
Here is a geometry-optimized ReTcP2S structure from Alexandria. Energies are from PBE.

Cell: 4.7057 4.7057 4.4619 Å, 90.00 90.00 90.00°
Positions (direct):
Re: 0.0000 0.0000 0.0000
Tc: 0.5000 0.5000 0.5000
P: 0.0000 0.5000 0.0000
P: 0.5000 0.0000 0.0000
S: 0.0000 0.0000 0.5000

Summary:
Space-group type: P4/mmm
Total moment in μB/cell: 3.1
E above lowest polymorph in meV/atom: 0
E_form (uncorrected) in meV per atom: 1125



Entry 3:
Here is a geometry-optimized ReTcPS2 structure from Alexandria. Energies are from PBE.

Cell: 4.4162 4.4162 5.1776 Å, 90.00 90.00 90.00°
Positions (direct):
Re: 0.0000 0.0000 0.0000
Tc: 0.5000 0.5000 0.5000
P: 0.5000 0.5000 0.0000
S: 0.0000 0.5000 0.5000
S: 0.5000 0.0000 0.5000

Summary:
Space-group type: P4/mmm
Total moment in μB/cell: 4.0
E above lowest polymorph in meV/atom: 239
E_form (uncorrected) in meV per atom: 1272



Entry 4:
Here is a geometry-optimized ReTcP2S structure from Alexandria. Energies are from PBE.

Cell: 4.7028 4.7028 4.3652 Å, 90.00 90.00 90.00°
Positions (direct):
Re: 0.0000 0.0000 0.0000
Tc: 0.5000 0.5000 0.5000
P: 0.0000 0.5000 0.5000
P: 0.5000 0.0000 0.5000
S: 0.5000 0.5000 0.0000

Summary:
Space-group type: P4/mmm
Total moment in μB/cell: 3.0
E above lowest polymorph in meV/atom: 207
E_form (uncorrected) in meV per atom: 1332



Entry 5:
Here is a geometry-optimized ReTcPS2 structure from Alexandria. Energies are from PBE.

Cell: 4.4625 4.4625 5.1206 Å, 90.00 90.00 90.00°
Positions (direct):
Re: 0.0000 0.0000 0.0000
Tc: 0.5000 0.5000 0.5000
P: 0.0000 0.0000 0.5000
S: 0.0000 0.5000 0.0000
S: 0.5000 0.0000 0.0000

Summary:
Space-group type: P4/mmm
Total moment in μB/cell: 3.8
E above lowest polymorph in meV/atom: 0
E_form (uncorrected) in meV per atom: 1034



Entry 6:
Here is a geometry-optimized ReTeP2S structure from Alexandria. Energies are from PBE.

Cell: 4.8191 4.8191 4.4185 Å, 90.00 90.00 90.00°
Positions (direct):
Re: 0.0000 0.0000 0.0000
Te: 0.5000 0.5000 0.5000
P: 0.0000 0.5000 0.0000
P: 0.5000 0.0000 0.0000
S: 0.0000 0.0000 0.5000

Summary:
Space-group type: P4/mmm
Total moment in μB/cell: 0.0
E above lowest polymorph in meV/atom: 0
E_form (uncorrected) in meV per atom: 478



| no. | DFT total energy (eV per atom) |
| --- | --- |
| 1 | -6.80 |
| 2 | -6.43 |
| 3 | -6.02 |
| 4 | -6.22 |
| 5 | -6.26 |
| 6 | -5.63 |